[1]
YCd2Os | PBE | relaxed

Cell lengths 3.040, 4.496, 5.920 Å; angles 90.00, 90.00, 90.00 degrees
Site moments in Bohr magnetons follow the coordinates.
Element x y z (fractional)
Cd (0.000, 0.000, 0.022)  -0.01
Cd (0.000, 0.000, 0.478)  -0.01
Os (0.500, 0.500, 0.250)  0.56
Y (0.500, 0.500, 0.750)  0.13

Total moment   0.738 μB/f.u.
Space group   Pmmm, No. 47
Total DFT energy (no corrections)   -18.61 eV/cell
Calculated formation energy   0.229 eV per atom
V   80.9 Å³/cell


[2]
Ac3InPtCl | PBE | relaxed

Cell lengths 4.859, 8.228, 10.566 Å; angles 105.97, 90.00, 90.00 degrees
Element x y z (fractional)
Ac (0.250, 0.708, 0.463)
Ac (0.750, 0.926, 0.138)
Ac (0.750, 0.442, 0.140)
Ac (0.750, 0.292, 0.537)
Ac (0.250, 0.558, 0.860)
Ac (0.250, 0.074, 0.862)
In (0.750, 0.749, 0.722)
In (0.250, 0.251, 0.278)
Pt (0.250, 0.686, 0.152)
Pt (0.750, 0.314, 0.848)
Cl (0.250, 0.103, 0.589)
Cl (0.750, 0.897, 0.411)

Total moment   0.000 μB/f.u.
Formation energy without anion corrections   -0.96 eV per atom
Space group   P2_1/m, No. 11
Total DFT energy (no corrections)   -57.47 eV/cell
V   406.1 Å³/cell